DFT (PBEsol) results for a relaxed structure of CoP2Os.

Cell: 2.7736 2.7736 7.1549 Å, 90.00 90.00 90.00°
Each line ends with the local moment (μB).
Element x y z (fractional)
Co  0.0000  0.0000  0.4885  0.47
Os  0.5000  0.5000  0.7465  0.03
P  0.0000  0.0000  0.9419  0.00
P  0.5000  0.5000  0.3232  -0.01

Excess energy over the best structure of this formula in the dataset: 0.88 eV/f.u.
Energy relative to the elements: -2 kJ/mol of atoms

DFT (PBEsol) results for a relaxed structure of CoP2Os.

Cell: 2.7830 2.8325 7.3928 Å, 90.00 90.00 119.42°
Element x y z (fractional)
Co  0.5000  0.0000  0.5000
Os  0.5000  0.0000  0.0000
P  0.0000  0.0000  0.7359
P  0.0000  0.0000  0.2641

Excess energy over the best structure of this formula in the dataset: 1.99 eV/f.u.
Energy relative to the elements: 25 kJ/mol of atoms

DFT (PBEsol) results for a relaxed structure of CoOsPb2.

Cell: 3.0749 3.0775 8.3624 Å, 90.00 90.00 90.00°
Each line ends with the local moment (μB).
Element x y z (fractional)
Co  0.0000  0.0000  0.5488  0.76
Os  0.5000  0.5000  0.6902  0.14
Pb  0.0000  0.0000  0.9376  0.00
Pb  0.5000  0.5000  0.3234  -0.01

Excess energy over the best structure of this formula in the dataset: 0.00 eV/f.u.
Energy relative to the elements: 47 kJ/mol of atoms

DFT (PBEsol) results for a relaxed structure of CoOs2Pb.

Cell: 2.9889 2.9889 6.8785 Å, 90.00 90.00 90.00°
Each line ends with the local moment (μB).
Element x y z (fractional)
Co  0.5000  0.5000  0.5000  0.39
Os  0.0000  0.0000  0.6933  0.01
Os  0.0000  0.0000  0.3067  0.01
Pb  0.5000  0.5000  0.0000  0.00

Energy relative to the elements: 78 kJ/mol of atoms

DFT (PBEsol) results for a relaxed structure of Co2OsPb.

Cell: 2.9516 4.3897 4.9576 Å, 99.61 90.00 109.65°
Each line ends with the local moment (μB).
Element x y z (fractional)
Pb  0.5000  0.0000  0.0000  -0.02
Co  0.7378  0.4755  0.6871  0.89
Co  0.2622  0.5245  0.3129  0.89
Os  0.0000  0.0000  0.5000  0.25

Energy relative to the elements: 65 kJ/mol of atoms

DFT (PBEsol) results for a relaxed structure of CoOs2Pb.

Cell: 2.8495 2.8495 9.0293 Å, 80.92 80.92 60.00°
Each line ends with the local moment (μB).
Element x y z (fractional)
Co  0.0000  0.0000  0.0000  1.27
Os  0.2618  0.2618  0.2145  0.14
Os  0.7382  0.7382  0.7855  0.14
Pb  0.5000  0.5000  0.5000  -0.01

Energy relative to the elements: 90 kJ/mol of atoms

DFT (PBEsol) results for a relaxed structure of CoOsPb2.

Cell: 3.8852 3.8852 5.4956 Å, 110.70 110.70 90.00°
Each line ends with the local moment (μB).
Element x y z (fractional)
Co  0.5000  0.5000  0.0000  0.87
Os  0.2500  0.7500  0.5000  0.06
Pb  0.0000  0.0000  0.0000  -0.03
Pb  0.7500  0.2500  0.5000  -0.02

Excess energy over the best structure of this formula in the dataset: 1.94 eV/f.u.
Energy relative to the elements: 94 kJ/mol of atoms

DFT (PBEsol) results for a relaxed structure of CoOs2Pb.

Cell: 2.8136 3.6248 6.1385 Å, 90.00 90.00 90.00°
Each line ends with the local moment (μB).
Element x y z (fractional)
Co  0.5000  0.5000  0.7873  0.83
Os  0.0000  0.0000  0.9956  0.03
Os  0.5000  0.5000  0.1955  -0.07
Pb  0.0000  0.0000  0.5216  0.00

Energy relative to the elements: 63 kJ/mol of atoms

DFT (PBEsol) results for a relaxed structure of Co2OsPd.

Cell: 4.1104 4.1104 4.1104 Å, 60.00 60.00 60.00°
Each line ends with the local moment (μB).
Element x y z (fractional)
Co  0.2500  0.2500  0.2500  1.14
Co  0.7500  0.7500  0.7500  1.14
Os  0.5000  0.5000  0.5000  0.41
Pd  0.0000  0.0000  0.0000  -0.04

Energy relative to the elements: 33 kJ/mol of atoms

DFT (PBEsol) results for a relaxed structure of ZnCoOsPd2.

Cell: 4.4045 4.4045 4.5519 Å, 90.00 90.00 90.00°
Each line ends with the local moment (μB).
Element x y z (fractional)
Co  0.5000  0.5000  0.5000  2.30
Zn  0.0000  0.0000  0.0000  0.03
Os  0.0000  0.0000  0.5000  1.51
Pd  0.0000  0.5000  0.0000  0.21
Pd  0.5000  0.0000  0.0000  0.21

Energy relative to the elements: 154 kJ/mol of atoms

DFT (PBEsol) results for a relaxed structure of CoOsPt2.

Cell: 2.6817 2.6817 7.5219 Å, 90.00 90.00 90.00°
Each line ends with the local moment (μB).
Element x y z (fractional)
Co  0.0000  0.0000  0.5120  0.67
Os  0.5000  0.5000  0.7285  -0.07
Pt  0.0000  0.0000  0.9903  -0.01
Pt  0.5000  0.5000  0.2692  0.03

Excess energy over the best structure of this formula in the dataset: 0.00 eV/f.u.
Energy relative to the elements: 3 kJ/mol of atoms

DFT (PBEsol) results for a relaxed structure of CoOs2Pt.

Cell: 2.6518 4.6437 4.6437 Å, 110.79 90.00 90.00°
Each line ends with the local moment (μB).
Element x y z (fractional)
Co  0.5000  0.5000  0.5000  0.86
Os  0.0000  0.5000  0.0000  0.04
Os  0.0000  0.0000  0.5000  0.04
Pt  0.5000  0.0000  0.0000  0.07

Energy relative to the elements: 24 kJ/mol of atoms

DFT (PBEsol) results for a relaxed structure of CoOsPt3.

Cell: 4.3773 4.3773 4.3773 Å, 90.00 90.00 90.00°
Each line ends with the local moment (μB).
Element x y z (fractional)
Co  0.0000  0.0000  0.0000  1.50
Os  0.5000  0.5000  0.5000  0.24
Pt  0.0000  0.5000  0.0000  0.28
Pt  0.0000  0.0000  0.5000  0.28
Pt  0.5000  0.0000  0.0000  0.28

Excess energy over the best structure of this formula in the dataset: 0.00 eV/f.u.
Energy relative to the elements: 161 kJ/mol of atoms

DFT (PBEsol) results for a relaxed structure of CoOsPt3.

Cell: 4.7348 4.7348 4.7348 Å, 90.00 90.00 90.00°
Each line ends with the local moment (μB).
Element x y z (fractional)
Co  0.5000  0.5000  0.5000  2.21
Os  0.0000  0.0000  0.0000  0.01
Pt  0.0000  0.5000  0.0000  0.01
Pt  0.0000  0.0000  0.5000  0.01
Pt  0.5000  0.0000  0.0000  0.01

Excess energy over the best structure of this formula in the dataset: 1.36 eV/f.u.
Energy relative to the elements: 188 kJ/mol of atoms

DFT (PBEsol) results for a relaxed structure of CoOsPt2.

Cell: 3.7631 3.7631 3.8391 Å, 90.00 90.00 90.00°
Each line ends with the local moment (μB).
Element x y z (fractional)
Co  0.5000  0.5000  0.5000  1.23
Os  0.0000  0.0000  0.5000  0.26
Pt  0.0000  0.5000  0.0000  0.11
Pt  0.5000  0.0000  0.0000  0.11

Excess energy over the best structure of this formula in the dataset: 0.55 eV/f.u.
Energy relative to the elements: 16 kJ/mol of atoms

DFT (PBEsol) results for a relaxed structure of CoOsPt.

Cell: 2.6580 3.6912 4.5809 Å, 113.76 106.86 90.00°
Each line ends with the local moment (μB).
Element x y z (fractional)
Co  0.0090  0.0090  0.0181  0.32
Os  0.6573  0.6573  0.3145  -0.02
Pt  0.3337  0.3337  0.6674  -0.01

Excess energy over the best structure of this formula in the dataset: 0.07 eV/f.u.
Energy relative to the elements: 10 kJ/mol of atoms

DFT (PBEsol) results for a relaxed structure of Co3OsPt.

Cell: 4.3118 4.3118 4.3118 Å, 90.00 90.00 90.00°
Each line ends with the local moment (μB).
Element x y z (fractional)
Co  0.0000  0.5000  0.0000  0.61
Co  0.0000  0.0000  0.5000  0.61
Co  0.5000  0.0000  0.0000  0.61
Os  0.0000  0.0000  0.0000  -0.01
Pt  0.5000  0.5000  0.5000  0.12

Energy relative to the elements: 165 kJ/mol of atoms

DFT (PBEsol) results for a relaxed structure of CoOsPt.

Cell: 2.6606 2.6606 5.8322 Å, 103.18 103.18 90.00°
Each line ends with the local moment (μB).
Element x y z (fractional)
Co  0.0081  0.0081  0.0162  0.63
Os  0.6553  0.6553  0.3107  -0.01
Pt  0.3365  0.3365  0.6731  0.03

Excess energy over the best structure of this formula in the dataset: 0.00 eV/f.u.
Energy relative to the elements: 7 kJ/mol of atoms

DFT (PBEsol) results for a relaxed structure of ZnCoOsPt2.

Cell: 4.2025 4.4209 4.4209 Å, 90.00 90.00 90.00°
Each line ends with the local moment (μB).
Element x y z (fractional)
Co  0.0000  0.0000  0.0000  1.44
Zn  0.5000  0.0000  0.0000  -0.03
Os  0.5000  0.5000  0.5000  1.25
Pt  0.0000  0.0000  0.5000  0.34
Pt  0.0000  0.5000  0.0000  0.34

Energy relative to the elements: 137 kJ/mol of atoms

DFT (PBEsol) results for a relaxed structure of RbCo2TcOs.

Cell: 4.5866 4.5866 4.6519 Å, 90.00 90.00 90.00°
Each line ends with the local moment (μB).
Element x y z (fractional)
Co  0.0000  0.5000  0.0000  0.80
Co  0.5000  0.0000  0.0000  0.80
Os  0.0000  0.0000  0.5000  -0.07
Tc  0.0000  0.0000  0.0000  -0.07
Rb  0.5000  0.5000  0.5000  -0.01

Energy relative to the elements: 166 kJ/mol of atoms

DFT (PBEsol) results for a relaxed structure of Co2ReOs.

Cell: 3.6628 3.6628 4.4699 Å, 114.19 114.19 90.00°
Each line ends with the local moment (μB).
Element x y z (fractional)
Re  0.7500  0.2500  0.5000  -0.03
Os  0.5000  0.5000  0.0000  0.05
Co  0.0000  0.0000  0.0000  0.52
Co  0.2500  0.7500  0.5000  0.78

Excess energy over the best structure of this formula in the dataset: 0.14 eV/f.u.
Energy relative to the elements: 4 kJ/mol of atoms

DFT (PBEsol) results for a relaxed structure of CoRe2Os.

Cell: 2.6835 2.6835 7.4286 Å, 90.00 90.00 90.00°
Element x y z (fractional)
Co  0.0000  0.0000  0.4956
Os  0.5000  0.5000  0.7421
Re  0.0000  0.0000  0.9914
Re  0.5000  0.5000  0.2708

Excess energy over the best structure of this formula in the dataset: 0.63 eV/f.u.
Energy relative to the elements: 9 kJ/mol of atoms

DFT (PBEsol) results for a relaxed structure of Co2ReOs.

Cell: 3.6534 3.6534 4.4656 Å, 114.15 114.15 90.00°
Each line ends with the local moment (μB).
Element x y z (fractional)
Re  0.0000  0.0000  0.0000  0.03
Os  0.5000  0.5000  0.0000  0.03
Co  0.2500  0.7500  0.5000  0.40
Co  0.7500  0.2500  0.5000  0.40

Excess energy over the best structure of this formula in the dataset: 0.34 eV/f.u.
Energy relative to the elements: 9 kJ/mol of atoms

DFT (PBEsol) results for a relaxed structure of Co2ReOs.

Cell: 2.5852 4.4634 4.4634 Å, 109.29 90.00 90.00°
Each line ends with the local moment (μB).
Element x y z (fractional)
Re  0.5000  0.5000  0.5000  0.00
Os  0.5000  0.0000  0.0000  0.01
Co  0.0000  0.5000  0.0000  0.30
Co  0.0000  0.0000  0.5000  0.30

Excess energy over the best structure of this formula in the dataset: 0.39 eV/f.u.
Energy relative to the elements: 10 kJ/mol of atoms

DFT (PBEsol) results for a relaxed structure of CoRe2Os.

Cell: 3.7723 3.7723 4.5992 Å, 114.21 114.21 90.00°
Element x y z (fractional)
Co  0.5000  0.5000  0.0000
Os  0.0000  0.0000  0.0000
Re  0.7500  0.2500  0.5000
Re  0.2500  0.7500  0.5000

Excess energy over the best structure of this formula in the dataset: 0.36 eV/f.u.
Energy relative to the elements: 3 kJ/mol of atoms

DFT (PBEsol) results for a relaxed structure of Co2ReOs.

Cell: 2.5780 3.9471 4.9023 Å, 90.00 105.24 90.00°
Element x y z (fractional)
Re  0.7882  0.5000  0.5764
Os  0.4511  0.0000  0.9021
Co  0.1834  0.0000  0.3667
Co  0.0523  0.5000  0.1047

Excess energy over the best structure of this formula in the dataset: 0.00 eV/f.u.
Energy relative to the elements: 1 kJ/mol of atoms

DFT (PBEsol) results for a relaxed structure of CoReOs.

Cell: 4.0336 4.0336 4.0336 Å, 60.00 60.00 60.00°
Element x y z (fractional)
Re  0.2500  0.2500  0.2500
Os  0.5000  0.5000  0.5000
Co  0.0000  0.0000  0.0000

Excess energy over the best structure of this formula in the dataset: 0.00 eV/f.u.
Energy relative to the elements: 60 kJ/mol of atoms

DFT (PBEsol) results for a relaxed structure of CoReOs.

Cell: 3.9479 3.9479 3.9479 Å, 60.00 60.00 60.00°
Each line ends with the local moment (μB).
Element x y z (fractional)
Re  0.5000  0.5000  0.5000  0.04
Os  0.0000  0.0000  0.0000  0.11
Co  0.2500  0.2500  0.2500  0.53

Excess energy over the best structure of this formula in the dataset: 0.56 eV/f.u.
Energy relative to the elements: 78 kJ/mol of atoms

DFT (PBEsol) results for a relaxed structure of Co2ReOs.

Cell: 2.9554 2.9554 5.6378 Å, 90.00 90.00 90.00°
Each line ends with the local moment (μB).
Element x y z (fractional)
Re  0.5000  0.5000  0.7701  0.02
Os  0.0000  0.0000  0.4831  0.07
Co  0.0000  0.0000  0.0341  1.07
Co  0.5000  0.5000  0.2128  1.24

Excess energy over the best structure of this formula in the dataset: 0.86 eV/f.u.
Energy relative to the elements: 21 kJ/mol of atoms

DFT (PBEsol) results for a relaxed structure of CoRe2Os.

Cell: 2.7018 4.2509 4.6484 Å, 90.00 90.00 90.00°
Element x y z (fractional)
Re  0.0000  0.0000  0.0369
Re  0.0000  0.5000  0.6974
Os  0.5000  0.5000  0.2143
Co  0.5000  0.0000  0.5513

Excess energy over the best structure of this formula in the dataset: 0.00 eV/f.u.
Energy relative to the elements: -6 kJ/mol of atoms

DFT (PBEsol) results for a relaxed structure of CoRe2OsS.

Cell: 4.2375 4.2640 4.2640 Å, 90.00 90.00 90.00°
Each line ends with the local moment (μB).
Element x y z (fractional)
Re  0.0000  0.0000  0.5000  -0.10
Re  0.0000  0.5000  0.0000  -0.10
S  0.0000  0.0000  0.0000  0.00
Os  0.5000  0.0000  0.0000  -0.06
Co  0.5000  0.5000  0.5000  1.48

Formation energy without anion corrections: 1.269 eV per atom

Going through the records in order, we get total magnetic moment values of 0.115; 0.000; 0.221; 0.105; 0.500; 0.388; 0.207; 0.194; 0.665; 0.864; 0.150; 0.247; 0.539; 0.453; 0.429; 0.093; 0.385; 0.213; 0.702; 0.278; 0.325; 0.001; 0.213; 0.150; 0.000; 0.000; 0.000; 0.238; 0.601; 0.000; 0.232 μB/atom.
Going through the records in order, we get uncorrected energy values of -7.905; -7.628; -6.497; -8.231; -7.247; -8.112; -6.012; -8.387; -8.067; -5.096; -8.439; -9.535; -6.497; -6.225; -8.300; -8.872; -6.772; -8.895; -5.672; -6.278; -10.215; -11.558; -10.166; -10.154; -11.626; -10.250; -10.468; -10.283; -10.034; -11.716; -8.932 eV/atom.